No. 1
First-principles (PBEsol) data for crystalline KHS at its relaxed geometry, as listed in Alexandria.

## Properties
uncorrected energy = -3.713 eV per atom

Structure (CIF):
```
data_KHS
_space_group_name_H-M_alt 'R 3 m'
_space_group_IT_number 160
_space_group_name_Hall 'R 3 -2"'
_cell_length_a 4.9160
_cell_length_b 4.9160
_cell_length_c 9.5207
_cell_angle_alpha 90.00
_cell_angle_beta 90.00
_cell_angle_gamma 120.00
loop_
_atom_site_label
_atom_site_type_symbol
_atom_site_fract_x
_atom_site_fract_y
_atom_site_fract_z
_atom_site_occupancy
K1 K 0.0000 0.0000 0.0000 1
H1 H 0.0000 0.0000 0.3610 1
S1 S 0.0000 0.0000 0.5037 1
```

=====

No. 2
First-principles (PBEsol) data for crystalline K3HS at its relaxed geometry, as listed in Alexandria.

## Properties
energy relative to the lowest polymorph listed for this composition = 0.000 eV per atom

Structure (CIF):
```
data_K3HS
_space_group_name_H-M_alt 'P m -3 m'
_space_group_IT_number 221
_space_group_name_Hall '-P 4 2 3'
_cell_length_a 4.9801
_cell_length_b 4.9801
_cell_length_c 4.9801
_cell_angle_alpha 90.00
_cell_angle_beta 90.00
_cell_angle_gamma 90.00
loop_
_atom_site_label
_atom_site_type_symbol
_atom_site_fract_x
_atom_site_fract_y
_atom_site_fract_z
_atom_site_occupancy
K1 K 0.0000 0.0000 0.5000 1
H1 H 0.0000 0.0000 0.0000 1
S1 S 0.5000 0.5000 0.5000 1
```

=====

No. 3
First-principles (PBEsol) data for crystalline KHS at its relaxed geometry, as listed in Alexandria.

## Properties
uncorrected energy = -3.717 eV per atom

Structure (CIF):
```
data_KHS
_space_group_name_H-M_alt 'P 1 21/m 1'
_space_group_IT_number 11
_space_group_name_Hall '-P 2yb'
_cell_length_a 4.2772
_cell_length_b 4.8818
_cell_length_c 6.5078
_cell_angle_alpha 90.00
_cell_angle_beta 101.35
_cell_angle_gamma 90.00
loop_
_atom_site_label
_atom_site_type_symbol
_atom_site_fract_x
_atom_site_fract_y
_atom_site_fract_z
_atom_site_occupancy
K1 K 0.2360 0.2500 0.2637 1
H1 H 0.4613 0.7500 0.0995 1
S1 S 0.2579 0.2500 0.7602 1
```

=====

No. 4
First-principles (PBEsol) data for crystalline KSc2H at its relaxed geometry, as listed in Alexandria.

## Properties
uncorrected energy = -3.194 eV per atom

Structure (CIF):
```
data_KSc2H
_space_group_name_H-M_alt 'F m -3 m'
_space_group_IT_number 225
_space_group_name_Hall '-F 4 2 3'
_cell_length_a 7.1525
_cell_length_b 7.1525
_cell_length_c 7.1525
_cell_angle_alpha 90.00
_cell_angle_beta 90.00
_cell_angle_gamma 90.00
loop_
_atom_site_label
_atom_site_type_symbol
_atom_site_fract_x
_atom_site_fract_y
_atom_site_fract_z
_atom_site_occupancy
K1 K 0.0000 0.0000 0.0000 1
Sc1 Sc 0.2500 0.2500 0.2500 1
H1 H 0.0000 0.0000 0.5000 1
```

=====

Number 1: total magnetic moment 0.00 μB per atom. Number 2: total magnetic moment 0.00 μB per atom. Number 3: total magnetic moment 0.00 μB per atom. Number 4: total magnetic moment 0.33 μB per atom.